Record 1
Computed, not measured: crystalline Tb4CeTm5 at its relaxed geometry at the PBE level of DFT.

a = 10.776 Å, b = 10.776 Å, c = 8.208 Å
α = 97.08°, β = 97.08°, γ = 19.48°
Sites, in units of the cell vectors:
Tb 0.112 0.112 0.334
Tb 0.315 0.315 0.948
Tb 0.685 0.685 0.052
Tb 0.888 0.888 0.666
Ce 0.500 0.500 0.000
Tm 0.096 0.096 0.755
Tm 0.282 0.282 0.358
Tm 0.500 0.500 0.500
Tm 0.718 0.718 0.642
Tm 0.904 0.904 0.245

Computed properties:
Energy of formation   85 kJ/mol of formula units
Offset from the most stable computed form   0.00 kJ/mol of atoms
Symmetry   C2/m (12)

Record 2
Computed, not measured: crystalline HfZrReP2 at its relaxed geometry at the PBE level of DFT.

a = 4.806 Å, b = 4.806 Å, c = 4.836 Å
α = 90.00°, β = 90.00°, γ = 90.00°
Sites, in units of the cell vectors:
Hf 0.000 0.000 0.000
Zr 0.500 0.500 0.500
Re 0.500 0.500 0.000
P 0.000 0.500 0.500
P 0.500 0.000 0.500

Computed properties:
Energy of formation   535 kJ/mol of formula units
Offset from the most stable computed form   0.00 kJ/mol of atoms
Symmetry   P4/mmm (123)

Record 3
Computed, not measured: crystalline Ba9H14Pd2 at its relaxed geometry at the PBE level of DFT.

a = 7.911 Å, b = 7.911 Å, c = 11.288 Å
α = 90.00°, β = 90.00°, γ = 120.00°
Sites, in units of the cell vectors:
Ba 0.000 0.000 0.000
Ba 0.047 0.332 0.348
Ba 0.285 0.953 0.348
Ba 0.332 0.285 0.652
Ba 0.333 0.667 0.915
Ba 0.667 0.333 0.085
Ba 0.668 0.715 0.348
Ba 0.715 0.047 0.652
Ba 0.953 0.668 0.652
H 0.000 0.000 0.365
H 0.000 0.000 0.635
H 0.052 0.385 0.589
H 0.141 0.832 0.853
H 0.168 0.309 0.853
H 0.309 0.141 0.147
H 0.333 0.948 0.589
H 0.385 0.333 0.411
H 0.615 0.667 0.589
H 0.667 0.052 0.411
H 0.691 0.859 0.853
H 0.832 0.691 0.147
H 0.859 0.168 0.147
H 0.948 0.615 0.411
Pd 0.333 0.667 0.175
Pd 0.667 0.333 0.825

Computed properties:
Calculated total energy   -83.19 eV for the cell shown
Symmetry   P-3 (147)

Record 4
Computed, not measured: crystalline Tb4Pm2Y3 at its relaxed geometry at the PBE level of DFT.

a = 10.234 Å, b = 10.234 Å, c = 6.012 Å
α = 95.84°, β = 95.84°, γ = 69.64°
Sites, in units of the cell vectors:
Tb 0.045 0.830 0.955
Tb 0.161 0.377 0.124
Tb 0.170 0.955 0.545
Tb 0.377 0.161 0.624
Tb 0.623 0.839 0.376
Tb 0.830 0.045 0.455
Tb 0.839 0.623 0.876
Tb 0.955 0.170 0.045
Pm 0.284 0.507 0.717
Pm 0.493 0.716 0.783
Pm 0.507 0.284 0.217
Pm 0.716 0.493 0.283
Y 0.014 0.316 0.585
Y 0.316 0.014 0.085
Y 0.349 0.651 0.250
Y 0.651 0.349 0.750
Y 0.684 0.986 0.915
Y 0.986 0.684 0.415

Computed properties:
Energy of formation   80 kJ/mol of formula units
Symmetry   C2/c (15)

Record 5
Computed, not measured: crystalline FeCu2As2 at its relaxed geometry at the PBE level of DFT.

a = 6.431 Å, b = 6.431 Å, c = 6.431 Å
α = 146.02°, β = 146.02°, γ = 48.82°
Sites, in units of the cell vectors:
Fe 0.000 0.000 0.000
Cu 0.401 0.401 0.000
Cu 0.599 0.599 0.000
As 0.250 0.750 0.500
As 0.750 0.250 0.500

Computed properties:
Energy of formation   268 kJ/mol of formula units
Offset from the most stable computed form   38.22 kJ/mol of atoms
Symmetry   I4/mmm (139)

Record 6
Computed, not measured: crystalline NdCdSn at its relaxed geometry at the PBE level of DFT.

a = 11.352 Å, b = 4.180 Å, c = 7.537 Å
α = 90.00°, β = 90.00°, γ = 90.00°
Sites, in units of the cell vectors:
Nd 0.226 0.250 0.137
Nd 0.274 0.750 0.637
Nd 0.726 0.250 0.363
Nd 0.774 0.750 0.863
Cd 0.038 0.750 0.364
Cd 0.462 0.250 0.864
Cd 0.538 0.750 0.136
Cd 0.962 0.250 0.636
Sn 0.067 0.750 0.908
Sn 0.433 0.250 0.408
Sn 0.567 0.750 0.592
Sn 0.933 0.250 0.092

Computed properties:
Energy of formation   -91 kJ/mol of formula units
Symmetry   Pnma (62)

Record 7
Computed, not measured: crystalline Ba2AlAg at its relaxed geometry at the PBE level of DFT.

a = 5.586 Å, b = 5.586 Å, c = 5.586 Å
α = 119.96°, β = 119.96°, γ = 90.06°
Sites, in units of the cell vectors:
Ba 0.000 0.000 0.000
Ba 0.750 0.250 0.500
Al 0.250 0.750 0.500
Ag 0.500 0.500 0.000

Computed properties:
Energy of formation   -4 kJ/mol of formula units
Symmetry   I-4m2 (119)

Record 8
Computed, not measured: crystalline Pm6AgPd2 at its relaxed geometry at the PBE level of DFT.

a = 8.725 Å, b = 8.725 Å, c = 8.725 Å
α = 112.74°, β = 109.99°, γ = 105.76°
Sites, in units of the cell vectors:
Pm 0.046 0.238 0.808
Pm 0.179 0.284 0.463
Pm 0.179 0.716 0.894
Pm 0.328 0.028 0.700
Pm 0.328 0.628 0.300
Pm 0.430 0.238 0.192
Pm 0.570 0.762 0.808
Pm 0.672 0.372 0.700
Pm 0.672 0.972 0.300
Pm 0.821 0.284 0.106
Pm 0.821 0.716 0.537
Pm 0.954 0.762 0.192
Ag 0.000 0.000 0.000
Ag 0.500 0.500 0.000
Pd 0.131 0.631 0.500
Pd 0.346 0.000 0.346
Pd 0.654 0.000 0.654
Pd 0.869 0.369 0.500

Computed properties:
Energy of formation   -357 kJ/mol of formula units
Offset from the most stable computed form   0.00 kJ/mol of atoms
Symmetry   Immm (71)

Record 9
Computed, not measured: crystalline Er3Te2H at its relaxed geometry at the PBE level of DFT.

a = 8.182 Å, b = 8.182 Å, c = 5.960 Å
α = 90.00°, β = 90.00°, γ = 57.14°
Sites, in units of the cell vectors:
Er 0.102 0.898 0.500
Er 0.109 0.615 0.993
Er 0.385 0.891 0.993
Er 0.615 0.109 0.493
Er 0.891 0.385 0.493
Er 0.898 0.102 0.000
Te 0.198 0.485 0.493
Te 0.485 0.198 0.993
Te 0.515 0.802 0.493
Te 0.802 0.515 0.993
H 0.163 0.837 0.134
H 0.837 0.163 0.634

Computed properties:
Calculated total energy   -56.13 eV for the cell shown
Symmetry   Cmc2_1 (36)

Record 10
Computed, not measured: crystalline Pr6TmTh at its relaxed geometry at the PBE level of DFT.

a = 5.185 Å, b = 5.185 Å, c = 10.375 Å
α = 90.00°, β = 90.00°, γ = 90.00°
Sites, in units of the cell vectors:
Pr 0.000 0.000 0.000
Pr 0.000 0.000 0.500
Pr 0.000 0.500 0.248
Pr 0.000 0.500 0.752
Pr 0.500 0.000 0.248
Pr 0.500 0.000 0.752
Tm 0.500 0.500 0.500
Th 0.500 0.500 0.000

Computed properties:
Energy of formation   35 kJ/mol of formula units
Offset from the most stable computed form   0.00 kJ/mol of atoms
Symmetry   P4/mmm (123)

Record 11
Computed, not measured: crystalline Li2HoAu3 at its relaxed geometry at the PBE level of DFT.

a = 8.264 Å, b = 8.264 Å, c = 8.264 Å
α = 43.50°, β = 43.50°, γ = 43.50°
Sites, in units of the cell vectors:
Li 0.149 0.149 0.149
Li 0.351 0.351 0.351
Li 0.649 0.649 0.649
Li 0.851 0.851 0.851
Ho 0.000 0.000 0.000
Ho 0.500 0.500 0.500
Au 0.022 0.750 0.478
Au 0.250 0.522 0.978
Au 0.478 0.022 0.750
Au 0.522 0.978 0.250
Au 0.750 0.478 0.022
Au 0.978 0.250 0.522

Computed properties:
Energy of formation   -294 kJ/mol of formula units
Offset from the most stable computed form   15.24 kJ/mol of atoms
Symmetry   R-3c (167)

Record 12
Computed, not measured: crystalline KRb2GaAg at its relaxed geometry at the PBE level of DFT.

a = 7.017 Å, b = 7.017 Å, c = 5.077 Å
α = 90.00°, β = 90.00°, γ = 90.00°
Sites, in units of the cell vectors:
K 0.000 0.000 0.000
Rb 0.000 0.500 0.500
Rb 0.500 0.000 0.500
Ga 0.500 0.500 0.000
Ag 0.500 0.500 0.500

Computed properties:
Energy of formation   49 kJ/mol of formula units
Symmetry   P4/mmm (123)